# 1
Below is a relaxed structure of LiNp4Sc3Se8, with properties calculated at the PBE level.

Calculated values
- Energy relative to the elements, uncorrected: -1.3122 eV per atom
- Symmetry: No. 166
- Total energy: -121.54 eV per cell

Lattice parameters (Å, degrees): 8.0035 8.0035 8.0035 59.74 59.74 59.74
Positions (direct):
Li 0.0000 0.0000 0.0000
Np 0.0000 0.0000 0.5000
Np 0.0000 0.5000 0.0000
Np 0.5000 0.0000 0.0000
Np 0.5000 0.5000 0.5000
Sc 0.0000 0.5000 0.5000
Sc 0.5000 0.0000 0.5000
Sc 0.5000 0.5000 0.0000
Se 0.2427 0.2427 0.7444
Se 0.2427 0.7444 0.2427
Se 0.2558 0.2558 0.2558
Se 0.2556 0.7573 0.7573
Se 0.7444 0.2427 0.2427
Se 0.7442 0.7442 0.7442
Se 0.7573 0.2556 0.7573
Se 0.7573 0.7573 0.2556

# 2
Below is a relaxed structure of LiScTlCo, with properties calculated at the PBE level.

Calculated values
- ΔH_f (0 K): -0.4 eV/f.u.
- Symmetry: No. 216
- Total energy: -18.13 eV per cell

Lattice parameters (Å, degrees): 4.5400 4.5400 4.5400 60.00 60.00 60.00
Positions (direct):
Li 0.0000 0.0000 0.0000
Sc 0.7500 0.7500 0.7500
Tl 0.2500 0.2500 0.2500
Co 0.5000 0.5000 0.5000

# 3
Below is a relaxed structure of PmSbCl6, with properties calculated at the PBE level.

Calculated values
- Energy relative to the elements, uncorrected: -1.5186 eV per atom
- ΔE to the lowest computed polymorph: 0.025 eV/f.u.
- Symmetry: No. 2
- Total energy: -32.10 eV per cell

Lattice parameters (Å, degrees): 6.7788 6.7830 7.3291 62.50 62.49 60.06
Positions (direct):
Pm 0.0000 0.0000 0.0000
Sb 0.5000 0.5000 0.5000
Cl 0.0982 0.7458 0.7470
Cl 0.2536 0.5914 0.2529
Cl 0.4090 0.0981 0.7466
Cl 0.5910 0.9019 0.2534
Cl 0.7464 0.4086 0.7471
Cl 0.9018 0.2542 0.2530

# 4
Below is a relaxed structure of Tc2IrOs, with properties calculated at the PBE level.

Calculated values
- ΔH_f (0 K): -0.8 eV/f.u.
- ΔE to the lowest computed polymorph: 0.000 eV/f.u.
- Symmetry: No. 25
- Total energy: -41.58 eV per cell

Lattice parameters (Å, degrees): 2.7504 4.3730 4.7852 90.00 90.00 90.00
Positions (direct):
Tc 0.0000 0.0000 0.0000
Tc 0.0000 0.5000 0.3299
Ir 0.5000 0.5000 0.8374
Os 0.5000 0.0000 0.4966

# 5
Below is a relaxed structure of LiTa2Tl, with properties calculated at the PBE level.

Calculated values
- ΔH_f (0 K): 1.3 eV/f.u.
- Symmetry: No. 123
- Total energy: -26.64 eV per cell

Lattice parameters (Å, degrees): 3.9119 3.9119 4.7287 90.00 90.00 90.00
Positions (direct):
Li 0.0000 0.0000 0.0000
Ta 0.0000 0.5000 0.5000
Ta 0.5000 0.0000 0.5000
Tl 0.5000 0.5000 0.0000

# 6
Below is a relaxed structure of Ba8SiH2, with properties calculated at the PBE level.

Calculated values
- Symmetry: No. 12
- Total energy: -29.11 eV per cell

Lattice parameters (Å, degrees): 9.1177 9.1177 7.5485 93.54 93.54 61.12
Positions (direct):
Ba 0.1339 0.6749 0.7416
Ba 0.1660 0.1660 0.7806
Ba 0.3251 0.8661 0.2584
Ba 0.3381 0.3381 0.2460
Ba 0.6619 0.6619 0.7540
Ba 0.6749 0.1339 0.7416
Ba 0.8340 0.8340 0.2194
Ba 0.8661 0.3251 0.2584
Si 0.0000 0.0000 0.5000
H 0.1753 0.1753 0.1398
H 0.8247 0.8247 0.8602

# 7
Below is a relaxed structure of YTiSCl2, with properties calculated at the PBE level.

Calculated values
- Energy relative to the elements, uncorrected: -0.8292 eV per atom
- ΔE to the lowest computed polymorph: 0.832 eV/f.u.
- Symmetry: No. 123
- Total energy: -26.33 eV per cell

Lattice parameters (Å, degrees): 5.2151 5.2151 5.3160 90.00 90.00 90.00
Positions (direct):
Y 0.0000 0.0000 0.0000
Ti 0.5000 0.5000 0.5000
S 0.0000 0.0000 0.5000
Cl 0.0000 0.5000 0.0000
Cl 0.5000 0.0000 0.0000

# 8
Below is a relaxed structure of In2SnP, with properties calculated at the PBE level.

Calculated values
- ΔH_f (0 K): 1.2 eV/f.u.
- ΔE to the lowest computed polymorph: 0.971 eV/f.u.
- Symmetry: No. 225
- Total energy: -13.73 eV per cell

Lattice parameters (Å, degrees): 5.1333 5.1333 5.1333 60.00 60.00 60.00
Positions (direct):
In 0.2500 0.2500 0.2500
In 0.7500 0.7500 0.7500
Sn 0.0000 0.0000 0.0000
P 0.5000 0.5000 0.5000

# 9
Below is a relaxed structure of ZrAlI, with properties calculated at the PBE level.

Calculated values
- Energy relative to the elements, uncorrected: -0.2655 eV per atom
- Symmetry: No. 8
- Total energy: -29.27 eV per cell

Lattice parameters (Å, degrees): 5.4816 5.4816 8.1195 100.04 100.04 42.29
Positions (direct):
Zr 0.0000 0.0000 0.0000
Zr 0.2430 0.2430 0.7347
Al 0.5424 0.5424 0.7724
Al 0.8994 0.8994 0.6226
I 0.0717 0.0717 0.3876
I 0.3034 0.3034 0.0952

# 10
Below is a relaxed structure of CaCdPd4, with properties calculated at the PBE level.

Calculated values
- ΔH_f (0 K): -2.1 eV/f.u.
- Symmetry: No. 63
- Total energy: -51.50 eV per cell

Lattice parameters (Å, degrees): 9.4192 9.4192 5.6567 90.00 90.00 152.15
Positions (direct):
Ca 0.0860 0.9140 0.7500
Ca 0.9140 0.0860 0.2500
Cd 0.3501 0.6499 0.7500
Cd 0.6499 0.3501 0.2500
Pd 0.0679 0.9321 0.2500
Pd 0.2139 0.7861 0.0110
Pd 0.2139 0.7861 0.4890
Pd 0.5000 0.5000 0.0000
Pd 0.5000 0.5000 0.5000
Pd 0.7861 0.2139 0.5110
Pd 0.7861 0.2139 0.9890
Pd 0.9321 0.0679 0.7500

# 11
Below is a relaxed structure of FeMo2Cl, with properties calculated at the PBE level.

Calculated values
- Energy relative to the elements, uncorrected: 0.3455 eV per atom
- ΔE to the lowest computed polymorph: 0.242 eV/f.u.
- Symmetry: No. 160
- Total energy: -30.59 eV per cell

Lattice parameters (Å, degrees): 8.6624 8.6624 8.6624 19.35 19.35 19.35
Positions (direct):
Fe 0.0000 0.0000 0.0000
Mo 0.2603 0.2603 0.2603
Mo 0.5014 0.5014 0.5014
Cl 0.7601 0.7601 0.7601

# 12
Below is a relaxed structure of Nd6Mg5Ag, with properties calculated at the PBE level.

Calculated values
- ΔH_f (0 K): -1.5 eV/f.u.
- Symmetry: No. 65
- Total energy: -40.95 eV per cell

Lattice parameters (Å, degrees): 8.6380 8.6380 7.7350 90.00 90.00 143.14
Positions (direct):
Nd 0.0000 0.0000 0.2461
Nd 0.0000 0.0000 0.7539
Nd 0.3361 0.6639 0.2507
Nd 0.3361 0.6639 0.7493
Nd 0.6639 0.3361 0.2507
Nd 0.6639 0.3361 0.7493
Mg 0.1682 0.8318 0.5000
Mg 0.1730 0.8270 0.0000
Mg 0.5000 0.5000 0.5000
Mg 0.8270 0.1730 0.0000
Mg 0.8318 0.1682 0.5000
Ag 0.5000 0.5000 0.0000

no.,M_tot (μB/cell)
1,18.26
2,0.85
3,0.00
4,0.00
5,0.00
6,2.02
7,2.99
8,0.00
9,0.00
10,0.00
11,2.22
12,0.00